Entry one
VASP calculation (GGA-PBE) on Tb3Pr4Sc after structural relaxation.

## Properties
* density: 6.76 g/cm³
* space group: Pmn2_1
* magnetic moment: 0.00 Bohr magnetons per cell

a b c (Å): 6.292 7.313 11.582
angles (deg): 90.00 90.00 90.00
Positions (direct):
Tb 0.651 0.622 0.000
Tb 0.978 0.617 0.250
Tb 0.478 0.383 0.250
Tb 0.151 0.378 0.500
Tb 0.478 0.383 0.750
Tb 0.978 0.617 0.750
Pr 0.157 0.866 0.000
Pr 0.632 0.130 0.000
Pr 0.987 0.131 0.240
Pr 0.487 0.869 0.260
Pr 0.132 0.870 0.500
Pr 0.657 0.134 0.500
Pr 0.487 0.869 0.740
Pr 0.987 0.131 0.760
Sc 0.145 0.386 0.000
Sc 0.645 0.614 0.500

---

Entry two
VASP calculation (GGA-PBE) on Tb3Pr4Sc after structural relaxation.

## Properties
* density: 6.67 g/cm³
* space group: C2/m
* magnetic moment: 0.00 Bohr magnetons per cell

a b c (Å): 3.697 5.508 13.673
angles (deg): 101.62 97.78 90.00
Positions (direct):
Pr 0.404 0.405 0.810
Pr 0.596 0.595 0.190
Pr 0.718 0.719 0.439
Pr 0.282 0.281 0.561
Sc 0.000 0.500 0.000
Tb 0.500 0.000 0.000
Tb 0.139 0.139 0.278
Tb 0.861 0.861 0.722

---

Stability check: which of them is least stable? entry two.

---

Entry one
VASP calculation (GGA-PBE) on Tb3Pr3Sc2 after structural relaxation.

## Properties
* density: 6.44 g/cm³
* space group: C2/m
* magnetic moment: 0.00 Bohr magnetons per cell

a b c (Å): 5.525 5.721 9.035
angles (deg): 109.30 107.80 90.00
Positions (direct):
Tb 0.861 0.321 0.721
Tb 0.139 0.679 0.279
Tb 0.000 0.000 0.000
Pr 0.359 0.906 0.718
Pr 0.500 0.500 0.000
Pr 0.641 0.094 0.282
Sc 0.750 0.689 0.501
Sc 0.250 0.311 0.499

---

Entry two
VASP calculation (GGA-PBE) on Tb3Pr3Sc2 after structural relaxation.

## Properties
* density: 6.54 g/cm³
* space group: Pmmm
* magnetic moment: 0.00 Bohr magnetons per cell

a b c (Å): 5.057 5.019 9.898
angles (deg): 90.00 90.00 90.00
Positions (direct):
Tb 0.500 0.500 0.752
Tb 0.500 0.500 0.248
Tb 0.500 0.000 0.000
Pr 0.500 0.000 0.500
Pr 0.000 0.500 0.000
Pr 0.000 0.500 0.500
Sc 0.000 0.000 0.752
Sc 0.000 0.000 0.248

---

Stability check: which of them is least stable? entry one.

---

Entry one
VASP calculation (GGA-PBE) on Tb4PrSc after structural relaxation.

## Properties
* density: 6.05 g/cm³
* space group: P4/mmm
* magnetic moment: 0.00 Bohr magnetons per cell

a b c (Å): 4.985 4.985 9.080
angles (deg): 90.00 90.00 90.00
Positions (direct):
Tb 0.997 0.501 0.793
Tb 0.997 0.501 0.210
Tb 0.497 0.001 0.210
Tb 0.497 0.001 0.793
Pr 0.997 0.001 0.502
Sc 0.497 0.501 0.002

---

Entry two
VASP calculation (GGA-PBE) on Tb4PrSc after structural relaxation.

## Properties
* density: 7.01 g/cm³
* space group: C2/m
* magnetic moment: 0.00 Bohr magnetons per cell

a b c (Å): 3.443 5.947 10.075
angles (deg): 86.33 80.16 73.17
Positions (direct):
Tb 0.655 0.540 0.149
Tb 0.345 0.460 0.851
Tb 0.153 0.030 0.664
Tb 0.847 0.970 0.336
Pr 0.500 0.500 0.500
Sc 0.000 0.000 0.000

---

Stability check: which of them is least stable? entry one.

---

Entry one
VASP calculation (GGA-PBE) on TbPr2Sc2 after structural relaxation.

## Properties
* density: 5.78 g/cm³
* space group: C2/c
* magnetic moment: 0.00 Bohr magnetons per cell

a b c (Å): 9.159 9.159 6.063
angles (deg): 101.26 101.26 135.60
Positions (direct):
Tb 0.192 0.808 0.250
Tb 0.808 0.192 0.750
Pr 0.840 0.714 0.448
Pr 0.286 0.160 0.052
Pr 0.714 0.840 0.948
Pr 0.160 0.286 0.552
Sc 0.381 0.619 0.250
Sc 0.738 0.262 0.250
Sc 0.262 0.738 0.750
Sc 0.619 0.381 0.750

---

Entry two
VASP calculation (GGA-PBE) on TbPr2Sc2 after structural relaxation.

## Properties
* density: 5.64 g/cm³
* space group: C2/c
* magnetic moment: 0.00 Bohr magnetons per cell

a b c (Å): 6.068 6.068 9.509
angles (deg): 110.68 101.09 98.34
Positions (direct):
Tb 0.705 0.955 0.250
Tb 0.295 0.045 0.750
Pr 0.825 0.292 0.011
Pr 0.280 0.314 0.489
Pr 0.175 0.708 0.989
Pr 0.720 0.686 0.511
Sc 0.382 0.332 0.151
Sc 0.182 0.732 0.349
Sc 0.618 0.668 0.849
Sc 0.818 0.268 0.651

---

Stability check: which of them is least stable? entry two.

---

Entry one
VASP calculation (GGA-PBE) on TbPrScTl after structural relaxation.

## Properties
* density: 8.15 g/cm³
* space group: Pmmm
* magnetic moment: 0.00 Bohr magnetons per cell

a b c (Å): 4.866 4.768 4.823
angles (deg): 90.00 90.00 90.00
Positions (direct):
Tb 0.500 0.500 0.000
Pr 0.500 0.000 0.500
Sc 0.000 0.500 0.500
Tl 0.000 0.000 0.000

---

Entry two
VASP calculation (GGA-PBE) on TbPrScTl after structural relaxation.

## Properties
* density: 7.93 g/cm³
* space group: F-43m
* magnetic moment: 1.28 Bohr magnetons per cell

a b c (Å): 5.459 5.459 5.459
angles (deg): 60.00 60.00 60.00
Positions (direct):
Pr 0.250 0.250 0.250
Sc 0.500 0.500 0.500
Tl 0.000 0.000 0.000
Tb 0.750 0.750 0.750

---

Stability check: which of them is least stable? entry two.

---

Entry one
VASP calculation (GGA-PBE) on TbPrYSc after structural relaxation.

## Properties
* density: 5.76 g/cm³
* space group: F-43m
* magnetic moment: 0.00 Bohr magnetons per cell

a b c (Å): 5.613 5.613 5.613
angles (deg): 60.00 60.00 60.00
Positions (direct):
Pr 0.500 0.500 0.500
Y 0.000 0.000 0.000
Tb 0.250 0.250 0.250
Sc 0.750 0.750 0.750

---

Entry two
VASP calculation (GGA-PBE) on TbPrYSc after structural relaxation.

## Properties
* density: 5.74 g/cm³
* space group: Cm
* magnetic moment: 0.00 Bohr magnetons per cell

a b c (Å): 3.814 5.663 6.740
angles (deg): 114.84 73.54 90.00
Positions (direct):
Tb 0.194 0.869 0.739
Pr 0.649 0.415 0.829
Y 0.424 0.137 0.274
Sc 0.919 0.644 0.287

---

Stability check: which of them is least stable? entry one.